RbScPb2 after structural relaxation, computed with PBE.

For the energy above the most stable polymorph in this dataset, the calculation gives 0.0000 eV per atom. The density of states at the Fermi level is 1.9 states/eV/cell.

Unit cell a=3.9644 b=3.9644 c=8.3629 alpha=90.00 beta=90.00 gamma=90.00
With the nearest neighbours (Å) after each atom.
Space group P4/mmm (No. 123)
Symmetry-distinct sites (fractional):
Rb: 0.0000 0.0000 0.0000 x1  8 Pb 3.85, 4 Rb 3.96, 2 Sc 4.18
Sc: 0.0000 0.0000 0.5000 x1  8 Pb 3.20
Pb: 0.5000 0.5000 0.3155 x2  1 Pb 3.09, 4 Sc 3.20

=====

TcAsN2 after structural relaxation, computed with PBE.

The formation energy without anion corrections comes out at 58 kJ/mol of atoms. The density of states at the Fermi level is 4.7 states/eV/cell.

Unit cell a=2.8818 b=2.8818 c=18.7509 alpha=90.00 beta=90.00 gamma=120.00
With the nearest neighbours (Å) after each atom.
Space group R-3m (No. 166, hexagonal axes)
Symmetry-distinct sites (fractional):
Tc: 0.0000 0.0000 0.0000 x3  2 N 2.03
As: 0.0000 0.0000 0.5000 x3  6 N 1.99
N: 0.0000 0.0000 0.1080 x6  3 As 1.99, 1 Tc 2.03

=====

LiNbMo2S after structural relaxation, computed with PBE.

The formation energy without anion corrections comes out at 164 kJ/mol of atoms. The density of states at the Fermi level is 3.9 states/eV/cell.

Unit cell a=4.7274 b=4.7274 c=4.9201 alpha=90.00 beta=90.00 gamma=90.00
With the nearest neighbours (Å) after each atom.
Space group P4/mmm (No. 123)
Symmetry-distinct sites (fractional):
Li: 0.0000 0.0000 0.0000 x1  2 Nb 2.46
Nb: 0.0000 0.0000 0.5000 x1  4 Mo 2.36, 2 Li 2.46
Mo: 0.0000 0.5000 0.5000 x2  2 Nb 2.36
S: 0.5000 0.5000 0.0000 x1  4 Li 3.34, 8 Mo 3.41